# Mn2FeBr, relaxed, DFT PBE
data_Mn2FeBr
_symmetry_space_group_name_H-M 'P 1'
_symmetry_Int_Tables_number 1
_cell_length_a 4.382
_cell_length_b 4.382
_cell_length_c 3.236
_cell_angle_alpha 90.00
_cell_angle_beta 90.00
_cell_angle_gamma 90.00
loop_
_symmetry_equiv_pos_as_xyz
'x,y,z'
loop_
_atom_site_label
_atom_site_type_symbol
_atom_site_fract_x
_atom_site_fract_y
_atom_site_fract_z
Mn1 Mn 0.000 0.500 0.000
Mn2 Mn 0.500 0.000 0.000
Fe1 Fe 0.000 0.000 0.500
Br1 Br 0.500 0.500 0.500
# Formation energy from raw total energies = 0.6561 eV per atom
# Total magnetization = 10.24 μB per formula unit
# Energy above the most stable polymorph in this dataset = 294 meV per atom
# E = -0.237 hartree per atom
# Symmetry = P4/mmm
# Mass density = 6.56 g/cm³